The following is a GGA-PBE calculation of a relaxed structure of Pm2HoHg4Pb, from Alexandria via LeMat-Bulk.

Summary:
Total magnetic moment in μB per formula unit: 0.0
ΔE_f in eV/atom: -0.43
Total energy in eV/atom: -2.804

Cell and atoms, written as extended XYZ:
```
8
Lattice="2.6470 1.5283 8.8338 -2.6470 1.5283 8.8338 0.0000 -3.0565 8.8338" Properties=species:S:1:pos:R:3 pbc="T T T"
Pm 0.0000 0.0000 6.4370
Pm 0.0000 0.0000 20.0644
Ho 0.0000 0.0000 0.0000
Hg 0.0000 0.0000 3.1255
Hg 0.0000 0.0000 9.7210
Hg 0.0000 0.0000 16.7805
Hg 0.0000 0.0000 23.3760
Pb 0.0000 0.0000 13.2507
```

***

The following is a GGA-PBE calculation of a relaxed structure of SiNiPb2, from Alexandria via LeMat-Bulk.

Summary:
Total magnetic moment in μB per formula unit: 0.0
Energy above the most stable polymorph in this dataset in meV per atom: 0
Total energy in eV/atom: -4.723
E_form (uncorrected) in eV/atom: -0.0673

Cell and atoms, written as extended XYZ:
```
4
Lattice="3.4651 -2.0019 0.0000 3.4651 2.0019 0.0000 -2.3742 0.0000 6.9213" Properties=species:S:1:pos:R:3 pbc="T T T"
Si 0.0000 0.0000 0.0000
Ni 4.6201 0.0000 0.0102
Pb -0.0663 0.0000 5.0463
Pb 2.3121 0.0000 1.8796
```

***

The following is a GGA-PBE calculation of a relaxed structure of MgPtS2N, from Alexandria via LeMat-Bulk.

Summary:
Total magnetic moment in μB per formula unit: 0.0
Energy above the most stable polymorph in this dataset in meV per atom: 900
Total energy in eV/atom: -3.705
E_form (uncorrected) in eV/atom: 1.1386

Cell and atoms, written as extended XYZ:
```
5
Lattice="4.7373 0.0000 0.0000 0.0000 4.7373 0.0000 0.0000 0.0000 3.7877" Properties=species:S:1:pos:R:3 pbc="T T T"
Mg 0.0000 0.0000 0.0000
Pt 2.3686 2.3686 1.8938
S 0.0000 2.3686 0.0000
S 2.3686 0.0000 0.0000
N 0.0000 0.0000 1.8938
```

***

The following is a GGA-PBE calculation of a relaxed structure of Mg8ZnCd2, from Alexandria via LeMat-Bulk.

Summary:
Total magnetic moment in μB per formula unit: 0.0
ΔE_f in eV/atom: 0.01
Energy above the most stable polymorph in this dataset in meV per atom: 54
Total energy in eV/atom: -1.434

Cell and atoms, written as extended XYZ:
```
11
Lattice="3.8400 -6.7193 0.0000 3.8400 6.7193 0.0000 -1.9338 0.0000 4.8234" Properties=species:S:1:pos:R:3 pbc="T T T"
Mg 0.3703 1.4888 3.1011
Mg 3.8400 3.9159 0.0000
Mg 0.3703 -1.4888 3.1011
Mg 2.5786 0.0000 0.9677
Mg 3.1677 0.0000 3.8558
Mg 5.3760 1.4888 1.7223
Mg 3.8400 -3.9159 0.0000
Mg 5.3760 -1.4888 1.7223
Zn 0.0000 0.0000 0.0000
Cd 2.8731 2.6704 2.4117
Cd 2.8731 -2.6704 2.4117
```